(1)
PBE MgScAs, relaxed; calculated volume = 20.9 Å³ per atom; energy relative to the elements = -2.08 eV/f.u.; energy relative to the lowest polymorph listed for this composition = 0.0 kJ/mol of atoms; total moment = 0.5 μB per formula unit
1.0
4.279 0.000 0.000
0.000 4.279 0.000
0.000 0.000 6.852
Mg Sc As
2 2 2
direct
0.250 0.250 0.157
0.750 0.750 0.843
0.250 0.750 0.500
0.750 0.250 0.500
0.250 0.250 0.768
0.750 0.750 0.232

(2)
PBE Mg2ScAs2, relaxed; calculated volume = 20.5 Å³ per atom; energy relative to the elements = -2.33 eV/f.u.; total moment = 0.0 μB per formula unit
1.0
3.973 0.000 0.000
0.000 3.973 0.000
0.000 0.000 12.983
Mg Sc As
4 2 4
direct
0.000 0.500 0.250
0.000 0.500 0.750
0.500 0.000 0.250
0.500 0.000 0.750
0.000 0.000 0.000
0.500 0.500 0.500
0.000 0.000 0.390
0.000 0.000 0.610
0.500 0.500 0.110
0.500 0.500 0.890

(3)
PBE MgScAs, relaxed; calculated volume = 20.1 Å³ per atom; energy relative to the elements = -1.51 eV/f.u.; energy relative to the lowest polymorph listed for this composition = 18.3 kJ/mol of atoms; total moment = 0.0 μB per formula unit
1.0
4.340 0.000 0.000
-2.170 3.758 0.000
0.000 0.000 3.698
Mg Sc As
1 1 1
direct
0.000 0.000 0.000
0.667 0.333 0.500
0.333 0.667 0.000